Entry 1:
A relaxed structure of UFe2B4, computed with PBE-GGA.

Cell: 2.9952 3.0421 7.7000 Å, 101.39 101.22 90.00°
Last column: nearest neighbours and their distance in Å.
Atoms (fractional coordinates):
B 0.6566 0.6566 0.3132  2 B 1.70
B 0.8982 0.3982 0.7964  2 B 1.70
B 0.3434 0.3434 0.6868  2 B 1.70
B 0.1018 0.6018 0.2036  2 B 1.70
Fe 0.8030 0.8030 0.6060  7 B 2.07-2.22
Fe 0.1970 0.1970 0.3940  7 B 2.07-2.22
U 0.5000 0.0000 0.0000  12 B 2.61-2.77

Energy of formation, eV per atom: -0.34
Space-group type: Immm (71)
Uncorrected energy, eV per atom: -8.182

=====

Entry 2:
A relaxed structure of UFe3B3, computed with PBE-GGA.

Cell: 3.7810 6.7789 6.8299 Å, 122.68 90.00 90.00°
Last column: nearest neighbours and their distance in Å.
Atoms (fractional coordinates):
Fe 0.2500 0.7341 0.6845  4 B 1.94-2.06
Fe 0.7500 0.2659 0.3155  4 B 1.94-2.06
Fe 0.7500 0.9749 0.6912  5 B 2.01-2.25
Fe 0.7500 0.8459 0.9903  3 B 2.04-2.16
Fe 0.2500 0.1541 0.0097  3 B 2.04-2.16
Fe 0.2500 0.0251 0.3088  5 B 2.01-2.25
B 0.2500 0.0480 0.6501  4 Fe 2.01-2.25
B 0.2500 0.3774 0.4509  4 Fe 2.04-2.06
B 0.7500 0.2805 0.0393  4 Fe 1.94-2.15
B 0.7500 0.6226 0.5491  4 Fe 2.04-2.06
B 0.7500 0.9520 0.3499  4 Fe 2.01-2.25
B 0.2500 0.7195 0.9607  4 Fe 1.94-2.15
U 0.2500 0.6199 0.2585  9 B 2.46-2.74, 3 Fe 2.58-2.66
U 0.7500 0.3801 0.7415  9 B 2.46-2.74, 3 Fe 2.58-2.66

Energy of formation, eV per atom: -0.16
Space-group type: P2_1/m (11)
Uncorrected energy, eV per atom: -8.266

=====

Entry 3:
A relaxed structure of UFe2B2, computed with PBE-GGA.

Cell: 3.4968 3.7979 8.2914 Å, 91.54 90.00 90.00°
Last column: nearest neighbours and their distance in Å.
Atoms (fractional coordinates):
B 0.2500 0.3536 0.9938  4 Fe 2.05-2.12, 2 B 2.07
B 0.7500 0.6464 0.0062  4 Fe 2.05-2.12, 2 B 2.07
B 0.7500 0.2400 0.3690  5 Fe 2.09-2.23
B 0.2500 0.7600 0.6310  5 Fe 2.09-2.23
Fe 0.2500 0.8496 0.8976  5 B 2.05-2.23
Fe 0.7500 0.7467 0.4926  4 B 2.09-2.16
Fe 0.7500 0.1504 0.1024  5 B 2.05-2.23
Fe 0.2500 0.2533 0.5074  4 B 2.09-2.16
U 0.7500 0.2540 0.7427  7 B 2.61-2.78, 6 Fe 2.62-2.83
U 0.2500 0.7460 0.2573  7 B 2.61-2.78, 6 Fe 2.62-2.83

Energy of formation, eV per atom: -0.32
Space-group type: P2_1/m (11)
Uncorrected energy, eV per atom: -8.633

=====

Entry 4:
A relaxed structure of UFeB4, computed with PBE-GGA.

Cell: 3.3729 5.8724 11.3814 Å, 90.00 90.00 90.00°
Last column: nearest neighbours and their distance in Å.
Atoms (fractional coordinates):
B 0.5000 0.2174 0.8133  3 B 1.79-1.81
B 0.5000 0.3867 0.0459  3 B 1.69-1.74
B 0.5000 0.7174 0.6867  3 B 1.79-1.81
B 0.5000 0.4746 0.1915  3 B 1.74-1.81
B 0.5000 0.0254 0.6915  3 B 1.74-1.81
B 0.5000 0.8645 0.0340  3 B 1.73-1.80
B 0.5000 0.8867 0.4541  3 B 1.69-1.74
B 0.5000 0.7826 0.1867  3 B 1.79-1.81
B 0.5000 0.5254 0.8085  3 B 1.74-1.81
B 0.5000 0.3645 0.4660  3 B 1.73-1.80
B 0.5000 0.2826 0.3133  3 B 1.79-1.81
B 0.5000 0.6133 0.9541  3 B 1.69-1.74
B 0.5000 0.9746 0.3085  3 B 1.74-1.81
B 0.5000 0.1133 0.5459  3 B 1.69-1.74
B 0.5000 0.6355 0.5340  3 B 1.73-1.80
B 0.5000 0.1355 0.9660  3 B 1.73-1.80
Fe 0.0000 0.1339 0.4111  10 B 2.20-2.28
Fe 0.0000 0.6339 0.0889  10 B 2.20-2.28
Fe 0.0000 0.3661 0.9111  10 B 2.20-2.28
Fe 0.0000 0.8661 0.5889  10 B 2.20-2.28
U 0.0000 0.3734 0.6503  14 B 2.57-2.69
U 0.0000 0.6266 0.3497  14 B 2.57-2.69
U 0.0000 0.8734 0.8497  14 B 2.57-2.69
U 0.0000 0.1266 0.1503  14 B 2.57-2.69

Energy of formation, eV per atom: -0.54
Space-group type: Pbam (55)
Uncorrected energy, eV per atom: -8.287

=====

Copy entry 4 word for word.
A relaxed structure of UFeB4, computed with PBE-GGA.

Cell: 3.3729 5.8724 11.3814 Å, 90.00 90.00 90.00°
Last column: nearest neighbours and their distance in Å.
Atoms (fractional coordinates):
B 0.5000 0.2174 0.8133  3 B 1.79-1.81
B 0.5000 0.3867 0.0459  3 B 1.69-1.74
B 0.5000 0.7174 0.6867  3 B 1.79-1.81
B 0.5000 0.4746 0.1915  3 B 1.74-1.81
B 0.5000 0.0254 0.6915  3 B 1.74-1.81
B 0.5000 0.8645 0.0340  3 B 1.73-1.80
B 0.5000 0.8867 0.4541  3 B 1.69-1.74
B 0.5000 0.7826 0.1867  3 B 1.79-1.81
B 0.5000 0.5254 0.8085  3 B 1.74-1.81
B 0.5000 0.3645 0.4660  3 B 1.73-1.80
B 0.5000 0.2826 0.3133  3 B 1.79-1.81
B 0.5000 0.6133 0.9541  3 B 1.69-1.74
B 0.5000 0.9746 0.3085  3 B 1.74-1.81
B 0.5000 0.1133 0.5459  3 B 1.69-1.74
B 0.5000 0.6355 0.5340  3 B 1.73-1.80
B 0.5000 0.1355 0.9660  3 B 1.73-1.80
Fe 0.0000 0.1339 0.4111  10 B 2.20-2.28
Fe 0.0000 0.6339 0.0889  10 B 2.20-2.28
Fe 0.0000 0.3661 0.9111  10 B 2.20-2.28
Fe 0.0000 0.8661 0.5889  10 B 2.20-2.28
U 0.0000 0.3734 0.6503  14 B 2.57-2.69
U 0.0000 0.6266 0.3497  14 B 2.57-2.69
U 0.0000 0.8734 0.8497  14 B 2.57-2.69
U 0.0000 0.1266 0.1503  14 B 2.57-2.69

Energy of formation, eV per atom: -0.54
Space-group type: Pbam (55)
Uncorrected energy, eV per atom: -8.287

=====

> Among the records above, which one has the highest uncorrected energy?

UFe2B4

=====

> Which value of uncorrected energy does entry 4 give?

-8.287 eV per atom

=====

> What is the energy of formation in the third record?

-0.32 eV per atom